[1]
AcCd6Au4, optimized geometry, DFT PBE; density of states at the Fermi level = 6.147 states/eV per cell; formation energy = -366 kJ/mol of formula units; spin magnetization = 0.00 μB per cell
1.0
8.142 0.000 0.000
-4.071 7.051 0.000
0.000 0.000 4.430
Ac Cd Au
1 6 4
direct
0.000 0.000 0.000
0.206 0.412 0.500
0.206 0.794 0.500
0.539 0.078 0.000
0.539 0.461 0.000
0.588 0.794 0.500
0.922 0.461 0.000
0.333 0.667 0.000
0.374 0.187 0.500
0.813 0.187 0.500
0.813 0.626 0.500

***

[2]
AcCd4Au, optimized geometry, DFT PBE; excess energy over the best structure of this formula in the dataset = 7 meV per atom; density of states at the Fermi level = 6.212 states/eV per cell; formation energy = -185 kJ/mol of formula units; spin magnetization = 0.00 μB per cell
1.0
8.621 0.000 0.000
0.000 4.474 0.000
0.000 0.000 7.936
Ac Cd Au
2 8 2
direct
0.250 0.000 0.114
0.750 0.000 0.886
0.000 0.000 0.500
0.055 0.500 0.811
0.250 0.500 0.446
0.445 0.500 0.811
0.500 0.000 0.500
0.555 0.500 0.189
0.750 0.500 0.554
0.945 0.500 0.189
0.250 0.000 0.719
0.750 0.000 0.281

***

[3]
Ac2CdAu6, optimized geometry, DFT PBE; excess energy over the best structure of this formula in the dataset = 82 meV per atom; density of states at the Fermi level = 5.066 states/eV per cell; formation energy = -461 kJ/mol of formula units; spin magnetization = 0.00 μB per cell
1.0
8.255 0.000 0.000
-4.127 7.149 0.000
0.000 0.000 3.886
Ac Cd Au
2 1 6
direct
0.333 0.667 0.000
0.667 0.333 0.000
0.000 0.000 0.000
0.000 0.331 0.500
0.000 0.669 0.500
0.331 0.000 0.500
0.331 0.331 0.500
0.669 0.000 0.500
0.669 0.669 0.500

***

[4]
Ac3Cd2Au, optimized geometry, DFT PBE; excess energy over the best structure of this formula in the dataset = 15 meV per atom; density of states at the Fermi level = 5.297 states/eV per cell; formation energy = -256 kJ/mol of formula units; spin magnetization = 0.00 μB per cell
1.0
5.668 0.000 0.000
-2.834 4.908 0.000
0.000 0.000 6.986
Ac Cd Au
3 2 1
direct
0.000 0.000 0.000
0.333 0.667 0.647
0.667 0.333 0.353
0.333 0.667 0.146
0.667 0.333 0.854
0.000 0.000 0.500

***

[5]
AcCeCdAu, optimized geometry, DFT PBE; density of states at the Fermi level = 43.637 states/eV per cell; formation energy = -146 kJ/mol of formula units; spin magnetization = 4.98 μB per cell
1.0
7.771 0.000 0.000
0.000 7.771 0.000
0.000 0.000 7.771
Ac Ce Cd Au
4 4 4 4
direct
0.000 0.000 0.000
0.000 0.500 0.500
0.500 0.000 0.500
0.500 0.500 0.000
0.000 0.000 0.500
0.000 0.500 0.000
0.500 0.000 0.000
0.500 0.500 0.500
0.250 0.250 0.250
0.250 0.750 0.750
0.750 0.250 0.750
0.750 0.750 0.250
0.250 0.250 0.750
0.250 0.750 0.250
0.750 0.250 0.250
0.750 0.750 0.750

***

[6]
Ac3Cd2Cu2Au4, optimized geometry, DFT PBE; density of states at the Fermi level = 8.009 states/eV per cell; formation energy = -549 kJ/mol of formula units; spin magnetization = 0.00 μB per cell
1.0
4.670 0.000 0.000
-2.335 4.045 0.000
0.000 0.000 15.272
Ac Cd Cu Au
3 2 2 4
direct
0.000 0.000 0.000
0.000 0.000 0.262
0.000 0.000 0.738
0.333 0.667 0.563
0.667 0.333 0.437
0.333 0.667 0.131
0.667 0.333 0.869
0.333 0.667 0.374
0.333 0.667 0.870
0.667 0.333 0.130
0.667 0.333 0.626

***

[7]
AcDyCdAu, optimized geometry, DFT PBE; density of states at the Fermi level = 7.871 states/eV per cell; formation energy = -185 kJ/mol of formula units; spin magnetization = 0.00 μB per cell
1.0
7.681 0.000 0.000
0.000 7.681 0.000
0.000 0.000 7.681
Ac Dy Cd Au
4 4 4 4
direct
0.000 0.000 0.000
0.000 0.500 0.500
0.500 0.000 0.500
0.500 0.500 0.000
0.000 0.000 0.500
0.000 0.500 0.000
0.500 0.000 0.000
0.500 0.500 0.500
0.250 0.250 0.250
0.250 0.750 0.750
0.750 0.250 0.750
0.750 0.750 0.250
0.250 0.250 0.750
0.250 0.750 0.250
0.750 0.250 0.250
0.750 0.750 0.750

***

[8]
AcEuCdAu, optimized geometry, DFT PBE; density of states at the Fermi level = 35.752 states/eV per cell; formation energy = -205 kJ/mol of formula units; spin magnetization = 29.08 μB per cell
1.0
7.838 0.000 0.000
0.000 7.838 0.000
0.000 0.000 7.838
Ac Eu Cd Au
4 4 4 4
direct
0.000 0.000 0.000
0.000 0.500 0.500
0.500 0.000 0.500
0.500 0.500 0.000
0.000 0.000 0.500
0.000 0.500 0.000
0.500 0.000 0.000
0.500 0.500 0.500
0.250 0.250 0.250
0.250 0.750 0.750
0.750 0.250 0.750
0.750 0.750 0.250
0.250 0.250 0.750
0.250 0.750 0.250
0.750 0.250 0.250
0.750 0.750 0.750